The following is a DFT calculation (PBE) of a geometry-optimized V4As3S structure.

Output
V = 246 Å³ per cell
energy = -7.132 eV per atom
raw formation energy = -242 kJ/mol of formula units
crystal system = orthorhombic

```
data_V4As3S
_cell_length_a 9.5074
_cell_length_b 5.3189
_cell_length_c 4.8631
_cell_angle_alpha 90.00
_cell_angle_beta 90.00
_cell_angle_gamma 90.00
_symmetry_space_group_name_H-M 'P m n 21'
_symmetry_Int_Tables_number 31
loop_
_symmetry_equiv_pos_as_xyz
'x,y,z'
'-x+1/2,-y,z+1/2'
'-x,y,z'
'x+1/2,-y,z+1/2'
loop_
_atom_site_label
_atom_site_type_symbol
_atom_site_fract_x
_atom_site_fract_y
_atom_site_fract_z
V1 V 0.0000 0.0582 0.0000
V2 V 0.0000 0.6875 0.4524
V3 V 0.2435 0.6814 0.8399
As1 As 0.0000 0.2038 0.4775
As2 As 0.2425 0.2011 0.8488
S1 S 0.0000 0.6378 0.9382
```

---

The following is a DFT calculation (PBE) of a geometry-optimized LaHCl2 structure.

Output
V = 319 Å³ per cell
energy = -4.385 eV per atom
crystal system = cubic

```
data_LaHCl2
_cell_length_a 6.8300
_cell_length_b 6.8300
_cell_length_c 6.8300
_cell_angle_alpha 90.00
_cell_angle_beta 90.00
_cell_angle_gamma 90.00
_symmetry_space_group_name_H-M 'F m -3 m'
_symmetry_Int_Tables_number 225
_symmetry_space_group_name_Hall '-F 4 2 3'
loop_
_atom_site_label
_atom_site_type_symbol
_atom_site_fract_x
_atom_site_fract_y
_atom_site_fract_z
La1 La 0.0000 0.0000 0.0000
H1 H 0.0000 0.0000 0.5000
Cl1 Cl 0.2500 0.2500 0.2500
```

---

The following is a DFT calculation (PBE) of a geometry-optimized Tm8ZrSc2 structure.

Output
V = 637 Å³ per cell
energy = -4.967 eV per atom
crystal system = monoclinic
ΔE_f = 0.21 eV per atom

```
data_Tm8ZrSc2
_cell_length_a 8.5329
_cell_length_b 15.2361
_cell_length_c 5.5017
_cell_angle_alpha 90.00
_cell_angle_beta 117.05
_cell_angle_gamma 90.00
_symmetry_space_group_name_H-M 'C 1 2/m 1'
_symmetry_Int_Tables_number 12
loop_
_symmetry_equiv_pos_as_xyz
'x,y,z'
'-x,-y,-z'
'-x,y,-z'
'x,-y,z'
'x+1/2,y+1/2,z'
'-x+1/2,-y+1/2,-z'
'-x+1/2,y+1/2,-z'
'x+1/2,-y+1/2,z'
loop_
_atom_site_label
_atom_site_type_symbol
_atom_site_fract_x
_atom_site_fract_y
_atom_site_fract_z
Tm1 Tm 0.0000 0.2052 0.0000
Tm2 Tm 0.1036 0.5000 0.7946
Tm3 Tm 0.2096 0.1114 0.6451
Zr1 Zr 0.0000 0.0000 0.0000
Sc1 Sc 0.0000 0.3050 0.5000
```

---

The following is a DFT calculation (PBE) of a geometry-optimized BeBO2F structure.

Output
V = 39 Å³ per cell
energy = -4.675 eV per atom
raw formation energy = -114 kJ/mol of formula units
crystal system = tetragonal

```
data_BeBO2F
_cell_length_a 3.5563
_cell_length_b 3.5563
_cell_length_c 3.1113
_cell_angle_alpha 90.00
_cell_angle_beta 90.00
_cell_angle_gamma 90.00
_symmetry_space_group_name_H-M 'P 4/m m m'
_symmetry_Int_Tables_number 123
_symmetry_space_group_name_Hall '-P 4 2'
loop_
_atom_site_label
_atom_site_type_symbol
_atom_site_fract_x
_atom_site_fract_y
_atom_site_fract_z
Be1 Be 0.0000 0.0000 0.0000
B1 B 0.5000 0.5000 0.5000
O1 O 0.0000 0.5000 0.0000
F1 F 0.0000 0.0000 0.5000
```

---

The following is a DFT calculation (PBE) of a geometry-optimized MgBeCo structure.

Output
V = 161 Å³ per cell
energy = -3.750 eV per atom
crystal system = cubic
distance to the lowest polymorph of the same formula = 431.9 meV per atom
ΔE_f = 0.39 eV per atom

```
data_MgBeCo
_cell_length_a 5.4424
_cell_length_b 5.4424
_cell_length_c 5.4424
_cell_angle_alpha 90.00
_cell_angle_beta 90.00
_cell_angle_gamma 90.00
_symmetry_space_group_name_H-M 'F -4 3 m'
_symmetry_Int_Tables_number 216
_symmetry_space_group_name_Hall 'F -4 2 3'
loop_
_atom_site_label
_atom_site_type_symbol
_atom_site_fract_x
_atom_site_fract_y
_atom_site_fract_z
Mg1 Mg 0.0000 0.0000 0.0000
Be1 Be 0.2500 0.2500 0.7500
Co1 Co 0.0000 0.0000 0.5000
```

---

The following is a DFT calculation (PBE) of a geometry-optimized SmY3Ho4 structure.

Output
V = 522 Å³ per cell
energy = -5.128 eV per atom
crystal system = monoclinic
distance to the lowest polymorph of the same formula = 169.3 meV per atom
ΔE_f = 0.17 eV per atom

```
data_SmY3Ho4
_cell_length_a 23.4991
_cell_length_b 3.4655
_cell_length_c 6.6818
_cell_angle_alpha 90.00
_cell_angle_beta 106.51
_cell_angle_gamma 90.00
_symmetry_space_group_name_H-M 'C 1 2/m 1'
_symmetry_Int_Tables_number 12
loop_
_symmetry_equiv_pos_as_xyz
'x,y,z'
'-x,-y,-z'
'-x,y,-z'
'x,-y,z'
'x+1/2,y+1/2,z'
'-x+1/2,-y+1/2,-z'
'-x+1/2,y+1/2,-z'
'x+1/2,-y+1/2,z'
loop_
_atom_site_label
_atom_site_type_symbol
_atom_site_fract_x
_atom_site_fract_y
_atom_site_fract_z
Sm1 Sm 0.0000 0.0000 0.0000
Y1 Y 0.0000 0.5000 0.5000
Y2 Y 0.1265 0.5000 0.8823
Ho1 Ho 0.1253 0.5000 0.3695
Ho2 Ho 0.2397 0.0000 0.2446
```